The following is a DFT calculation (GGA-PBE) of a relaxed MgTlIn2Hg5 crystal.

a = 8.970 Å, b = 8.970 Å, c = 8.970 Å
α = 145.53°, β = 137.96°, γ = 55.45°
Fractional coordinates of all 9 atoms:
Mg 0.000 0.000 0.000
Tl 0.500 0.500 0.000
In 0.186 0.686 0.500
In 0.814 0.314 0.500
Hg 0.000 0.500 0.500
Hg 0.117 0.851 0.265
Hg 0.414 0.149 0.265
Hg 0.586 0.851 0.735
Hg 0.883 0.149 0.735

## Properties
Total DFT energy (no corrections) ... -1.161 eV/atom

The following is a DFT calculation (GGA-PBE) of a relaxed Cd2SiP crystal.

a = 4.411 Å, b = 4.411 Å, c = 4.043 Å
α = 90.00°, β = 90.00°, γ = 90.00°
Fractional coordinates of all 4 atoms:
Cd 0.000 0.500 0.000
Cd 0.500 0.000 0.000
Si 0.000 0.000 0.500
P 0.500 0.500 0.500

## Properties
Energy above the lowest structure with this stoichiometry ... 410.6 meV per atom
ΔE_f (raw) ... 1.9 eV per formula unit
Total DFT energy (no corrections) ... -2.690 eV/atom

The following is a DFT calculation (GGA-PBE) of a relaxed CaIn2F4 crystal.

a = 7.517 Å, b = 7.517 Å, c = 7.517 Å
α = 145.00°, β = 145.00°, γ = 50.33°
Fractional coordinates of all 7 atoms:
Ca 0.000 0.000 0.000
In 0.346 0.346 0.000
In 0.654 0.654 0.000
F 0.000 0.500 0.500
F 0.169 0.169 0.000
F 0.500 0.000 0.500
F 0.831 0.831 0.000

## Properties
ΔE_f (raw) ... -17.8 eV per formula unit
Total DFT energy (no corrections) ... -4.684 eV/atom